# CsNpGa2O8 PBE-GGA relaxed
# Energy relative to the elements, uncorrected = -1.784 eV per atom
data_CsNpGa2O8
_chemical_formula_sum 'Cs1 Np1 Ga2 O8'
_cell_length_a 4.9761
_cell_length_b 4.9775
_cell_length_c 7.6337
_cell_angle_alpha 91.96
_cell_angle_beta 91.74
_cell_angle_gamma 91.56
_space_group_name_H-M_alt 'P -1'
_space_group_IT_number 2
loop_
_space_group_symop_operation_xyz
'x,y,z'
'-x,-y,-z'
loop_
_atom_site_label
_atom_site_type_symbol
_atom_site_fract_x
_atom_site_fract_y
_atom_site_fract_z
Cs1 Cs 0.0000 0.0000 0.0000
Np1 Np 0.0000 0.0000 0.5000
Ga1 Ga 0.4877 0.4881 0.6842
O1 O 0.1930 0.1913 0.3316
O2 O 0.2081 0.2089 0.6909
O3 O 0.3136 0.6860 0.5002
O4 O 0.4280 0.4270 0.0696